Entry 1:
# KHS (meta-GGA SCAN, PBEsol geometry)
data_KHS
_chemical_formula_sum 'K2 H2 S2'
_symmetry_space_group_name_H-M 'P 1 21/m 1'
_symmetry_Int_Tables_number 11
_cell_length_a 4.277
_cell_length_b 4.882
_cell_length_c 6.508
_cell_angle_alpha 90.00
_cell_angle_beta 101.35
_cell_angle_gamma 90.00
loop_
_symmetry_equiv_pos_as_xyz
'x,y,z'
'-x,-y,-z'
'-x,y+1/2,-z'
'x,-y+1/2,z'
loop_
_atom_site_label
_atom_site_type_symbol
_atom_site_fract_x
_atom_site_fract_y
_atom_site_fract_z
K1 K 0.236 0.250 0.264
H1 H 0.461 0.750 0.100
S1 S 0.258 0.250 0.760
# D(E_F) ... 0.000 states/eV/atom
# Electronic total energy ... -8.052 eV per atom


Entry 2:
# K3HS (meta-GGA SCAN, PBEsol geometry)
data_K3HS
_chemical_formula_sum 'K3 H1 S1'
_symmetry_space_group_name_H-M 'P m -3 m'
_symmetry_Int_Tables_number 221
_symmetry_space_group_name_Hall '-P 4 2 3'
_cell_length_a 4.980
_cell_length_b 4.980
_cell_length_c 4.980
_cell_angle_alpha 90.00
_cell_angle_beta 90.00
_cell_angle_gamma 90.00
loop_
_atom_site_label
_atom_site_type_symbol
_atom_site_fract_x
_atom_site_fract_y
_atom_site_fract_z
K1 K 0.000 0.000 0.500
H1 H 0.000 0.000 0.000
S1 S 0.500 0.500 0.500
# D(E_F) ... 0.000 states/eV/atom
# Electronic total energy ... -8.415 eV per atom
# Offset from the most stable computed form ... 0.0 meV per atom


Entry 3:
# KHS (meta-GGA SCAN, PBEsol geometry)
data_KHS
_chemical_formula_sum 'K3 H3 S3'
_symmetry_space_group_name_H-M 'R 3 m'
_symmetry_Int_Tables_number 160
_symmetry_space_group_name_Hall 'R 3 -2"'
_cell_length_a 4.9160
_cell_length_b 4.9160
_cell_length_c 9.5207
_cell_angle_alpha 90.00
_cell_angle_beta 90.00
_cell_angle_gamma 120.00
loop_
_atom_site_label
_atom_site_type_symbol
_atom_site_fract_x
_atom_site_fract_y
_atom_site_fract_z
K1 K 0.0000 0.0000 0.0000
H1 H 0.0000 0.0000 0.3610
S1 S 0.0000 0.0000 0.5037
# D(E_F) ... 0.000 states/eV/atom
# Electronic total energy ... -8.049 eV per atom


Entry 4:
# KSc2H (meta-GGA SCAN, PBEsol geometry)
data_KSc2H
_chemical_formula_sum 'K4 Sc8 H4'
_symmetry_space_group_name_H-M 'F m -3 m'
_symmetry_Int_Tables_number 225
_symmetry_space_group_name_Hall '-F 4 2 3'
_cell_length_a 7.152
_cell_length_b 7.152
_cell_length_c 7.152
_cell_angle_alpha 90.00
_cell_angle_beta 90.00
_cell_angle_gamma 90.00
loop_
_atom_site_label
_atom_site_type_symbol
_atom_site_fract_x
_atom_site_fract_y
_atom_site_fract_z
K1 K 0.000 0.000 0.000
Sc1 Sc 0.250 0.250 0.250
H1 H 0.000 0.000 0.500
# D(E_F) ... 0.668 states/eV/atom
# Electronic total energy ... -8.797 eV per atom


Entry 5:
# K3HSe (meta-GGA SCAN, PBEsol geometry)
data_K3HSe
_chemical_formula_sum 'K3 H1 Se1'
_symmetry_space_group_name_H-M 'P m -3 m'
_symmetry_Int_Tables_number 221
_symmetry_space_group_name_Hall '-P 4 2 3'
_cell_length_a 5.082
_cell_length_b 5.082
_cell_length_c 5.082
_cell_angle_alpha 90.00
_cell_angle_beta 90.00
_cell_angle_gamma 90.00
loop_
_atom_site_label
_atom_site_type_symbol
_atom_site_fract_x
_atom_site_fract_y
_atom_site_fract_z
K1 K 0.000 0.000 0.500
H1 H 0.000 0.000 0.000
Se1 Se 0.500 0.500 0.500
# D(E_F) ... 0.000 states/eV/atom
# Electronic total energy ... -10.562 eV per atom


Entry 6:
# K2HSe (meta-GGA SCAN, PBEsol geometry)
data_K2HSe
_chemical_formula_sum 'K8 H4 Se4'
_symmetry_space_group_name_H-M 'I 41/a m d'
_symmetry_Int_Tables_number 141
_cell_length_a 11.027
_cell_length_b 11.027
_cell_length_c 4.071
_cell_angle_alpha 90.00
_cell_angle_beta 90.00
_cell_angle_gamma 90.00
loop_
_symmetry_equiv_pos_as_xyz
'x,y,z'
'-x,-y,-z'
'-y+1/4,x+3/4,z+1/4'
'y+1/4,-x+3/4,-z+1/4'
'-x+1/2,-y,z+1/2'
'x+1/2,y,-z+1/2'
'y+1/4,-x+1/4,z+3/4'
'-y+1/4,x+1/4,-z+3/4'
'x,-y,-z'
'-x,y,z'
'-y+1/4,-x+1/4,-z+3/4'
'y+1/4,x+1/4,z+3/4'
'-x+1/2,y,-z+1/2'
'x+1/2,-y,z+1/2'
'y+1/4,x+3/4,-z+1/4'
'-y+1/4,-x+3/4,z+1/4'
'x+1/2,y+1/2,z+1/2'
'-x+1/2,-y+1/2,-z+1/2'
'-y+3/4,x+1/4,z+3/4'
'y+3/4,-x+1/4,-z+3/4'
'-x,-y+1/2,z'
'x,y+1/2,-z'
'y+3/4,-x+3/4,z+1/4'
'-y+3/4,x+3/4,-z+1/4'
'x+1/2,-y+1/2,-z+1/2'
'-x+1/2,y+1/2,z+1/2'
'-y+3/4,-x+3/4,-z+1/4'
'y+3/4,x+3/4,z+1/4'
'-x,y+1/2,-z'
'x,-y+1/2,z'
'y+3/4,x+1/4,-z+3/4'
'-y+3/4,-x+1/4,z+3/4'
loop_
_atom_site_label
_atom_site_type_symbol
_atom_site_fract_x
_atom_site_fract_y
_atom_site_fract_z
K1 K 0.000 0.000 0.000
H1 H 0.000 0.250 0.875
Se1 Se 0.000 0.250 0.375
# D(E_F) ... 0.371 states/eV/atom
# Electronic total energy ... -10.560 eV per atom


Entry 7:
# KH3Se (meta-GGA SCAN, PBEsol geometry)
data_KH3Se
_chemical_formula_sum 'K1 H3 Se1'
_symmetry_space_group_name_H-M 'P m -3 m'
_symmetry_Int_Tables_number 221
_symmetry_space_group_name_Hall '-P 4 2 3'
_cell_length_a 4.035
_cell_length_b 4.035
_cell_length_c 4.035
_cell_angle_alpha 90.00
_cell_angle_beta 90.00
_cell_angle_gamma 90.00
loop_
_atom_site_label
_atom_site_type_symbol
_atom_site_fract_x
_atom_site_fract_y
_atom_site_fract_z
K1 K 0.000 0.000 0.000
H1 H 0.000 0.000 0.500
Se1 Se 0.500 0.500 0.500
# D(E_F) ... 0.361 states/eV/atom
# Electronic total energy ... -6.490 eV per atom


Entry 8:
# KTaHSe2 (meta-GGA SCAN, PBEsol geometry)
data_KTaHSe2
_chemical_formula_sum 'K1 Ta1 H1 Se2'
_symmetry_space_group_name_H-M 'P 4/m m m'
_symmetry_Int_Tables_number 123
_symmetry_space_group_name_Hall '-P 4 2'
_cell_length_a 5.325
_cell_length_b 5.325
_cell_length_c 3.375
_cell_angle_alpha 90.00
_cell_angle_beta 90.00
_cell_angle_gamma 90.00
loop_
_atom_site_label
_atom_site_type_symbol
_atom_site_fract_x
_atom_site_fract_y
_atom_site_fract_z
K1 K 0.000 0.000 0.000
Ta1 Ta 0.500 0.500 0.500
H1 H 0.000 0.000 0.500
Se1 Se 0.000 0.500 0.000
# D(E_F) ... 0.526 states/eV/atom
# Electronic total energy ... -22.484 eV per atom


Entry 9:
# KSiH2 (meta-GGA SCAN, PBEsol geometry)
data_KSiH2
_chemical_formula_sum 'K4 Si4 H8'
_symmetry_space_group_name_H-M 'F m -3 m'
_symmetry_Int_Tables_number 225
_symmetry_space_group_name_Hall '-F 4 2 3'
_cell_length_a 6.030
_cell_length_b 6.030
_cell_length_c 6.030
_cell_angle_alpha 90.00
_cell_angle_beta 90.00
_cell_angle_gamma 90.00
loop_
_atom_site_label
_atom_site_type_symbol
_atom_site_fract_x
_atom_site_fract_y
_atom_site_fract_z
K1 K 0.000 0.000 0.000
Si1 Si 0.000 0.000 0.500
H1 H 0.250 0.250 0.250
# D(E_F) ... 0.227 states/eV/atom
# Electronic total energy ... -5.435 eV per atom


Entry 10:
# KSiH3 (meta-GGA SCAN, PBEsol geometry)
data_KSiH3
_chemical_formula_sum 'K4 Si4 H12'
_symmetry_space_group_name_H-M 'P n m a'
_symmetry_Int_Tables_number 62
_cell_length_a 8.518
_cell_length_b 5.099
_cell_length_c 6.624
_cell_angle_alpha 90.00
_cell_angle_beta 90.00
_cell_angle_gamma 90.00
loop_
_symmetry_equiv_pos_as_xyz
'x,y,z'
'-x,-y,-z'
'-x+1/2,-y,z+1/2'
'x+1/2,y,-z+1/2'
'x+1/2,-y+1/2,-z+1/2'
'-x+1/2,y+1/2,z+1/2'
'-x,y+1/2,-z'
'x,-y+1/2,z'
loop_
_atom_site_label
_atom_site_type_symbol
_atom_site_fract_x
_atom_site_fract_y
_atom_site_fract_z
K1 K 0.188 0.250 0.147
Si1 Si 0.041 0.250 0.646
H1 H 0.078 0.031 0.803
H2 H 0.136 0.750 0.300
# D(E_F) ... 0.000 states/eV/atom
# Electronic total energy ... -5.930 eV per atom


Entry 11:
# K2ZrSiH (meta-GGA SCAN, PBEsol geometry)
data_K2ZrSiH
_chemical_formula_sum 'K2 Zr1 Si1 H1'
_symmetry_space_group_name_H-M 'P 4/m m m'
_symmetry_Int_Tables_number 123
_symmetry_space_group_name_Hall '-P 4 2'
_cell_length_a 4.323
_cell_length_b 4.323
_cell_length_c 5.622
_cell_angle_alpha 90.00
_cell_angle_beta 90.00
_cell_angle_gamma 90.00
loop_
_atom_site_label
_atom_site_type_symbol
_atom_site_fract_x
_atom_site_fract_y
_atom_site_fract_z
K1 K 0.000 0.500 0.000
Zr1 Zr 0.000 0.000 0.500
Si1 Si 0.500 0.500 0.500
H1 H 0.000 0.000 0.000
# D(E_F) ... 0.450 states/eV/atom
# Electronic total energy ... -11.763 eV per atom


Entry 12:
# K2TcH9 (meta-GGA SCAN, PBEsol geometry)
data_K2TcH9
_chemical_formula_sum 'K6 Tc3 H27'
_symmetry_space_group_name_H-M 'P -6 2 m'
_symmetry_Int_Tables_number 189
_symmetry_space_group_name_Hall 'P -6 -2'
_cell_length_a 9.2747
_cell_length_b 9.2747
_cell_length_c 5.3827
_cell_angle_alpha 90.00
_cell_angle_beta 90.00
_cell_angle_gamma 120.00
loop_
_atom_site_label
_atom_site_type_symbol
_atom_site_fract_x
_atom_site_fract_y
_atom_site_fract_z
K1 K 0.0000 0.4078 0.0000
K2 K 0.0000 0.7368 0.5000
Tc1 Tc 0.0000 0.0000 0.0000
Tc2 Tc 0.3333 0.6667 0.5000
H1 H 0.0000 0.1294 0.2176
H2 H 0.0000 0.8210 0.0000
H3 H 0.1385 0.5097 0.5000
H4 H 0.2242 0.6941 0.2733
# D(E_F) ... 0.000 states/eV/atom
# Electronic total energy ... -7.182 eV per atom